# Li3V4O7F5, relaxed, DFT PBE+U
data_Li3V4O7F5
_chemical_formula_sum 'Li3 V4 O7 F5'
_space_group_name_H-M_alt 'P 1'
_space_group_IT_number 1
_space_group_name_Hall 'P 1'
_cell_length_a 5.118
_cell_length_b 5.365
_cell_length_c 8.879
_cell_angle_alpha 73.40
_cell_angle_beta 88.86
_cell_angle_gamma 62.85
loop_
_atom_site_label
_atom_site_type_symbol
_atom_site_fract_x
_atom_site_fract_y
_atom_site_fract_z
Li1 Li 0.000 0.000 0.000
Li2 Li 0.222 0.527 0.763
Li3 Li 0.456 0.060 0.506
V1 V 0.132 0.730 0.395
V2 V 0.435 0.153 0.156
V3 V 0.689 0.628 0.900
V4 V 0.857 0.183 0.658
O1 O 0.354 0.899 0.348
O2 O 0.486 0.391 0.592
O3 O 0.503 0.404 0.975
O4 O 0.857 0.877 0.838
O5 O 0.878 0.895 0.226
O6 O 0.929 0.890 0.532
O7 O 0.935 0.361 0.794
F1 F 0.020 0.379 0.485
F2 F 0.365 0.873 0.714
F3 F 0.408 0.391 0.300
F4 F 0.420 0.898 0.031
F5 F 0.991 0.391 0.090
# * total magnetization: 0.21 μB/atom
# * crystal system: triclinic
# * distance to the lowest polymorph of the same formula: 1 meV/atom
# * V: 10.8 A^3/atom
# * mass density: 3477 kg/m3